[1]
VASP calculation (PBE) on a geometry-optimized LaCdPt structure.

Geometry as CIF:
```
data_LaCdPt
_chemical_formula_sum 'La4 Cd4 Pt4'
_cell_length_a 7.0587
_cell_length_b 7.0587
_cell_length_c 7.0587
_cell_angle_alpha 90.00
_cell_angle_beta 90.00
_cell_angle_gamma 90.00
_symmetry_space_group_name_H-M 'F -4 3 m'
_symmetry_Int_Tables_number 216
_symmetry_space_group_name_Hall 'F -4 2 3'
loop_
_atom_site_label
_atom_site_fract_x
_atom_site_fract_y
_atom_site_fract_z
_atom_site_occupancy
La1 0.0000 0.0000 0.0000 1
Cd1 0.2500 0.2500 0.7500 1
Pt1 0.2500 0.2500 0.2500 1
```


[2]
VASP calculation (PBE) on a geometry-optimized LaTaCoCu structure.

Geometry as CIF:
```
data_LaTaCoCu
_chemical_formula_sum 'La4 Ta4 Co4 Cu4'
_cell_length_a 6.4875
_cell_length_b 6.4875
_cell_length_c 6.4875
_cell_angle_alpha 90.00
_cell_angle_beta 90.00
_cell_angle_gamma 90.00
_symmetry_space_group_name_H-M 'F -4 3 m'
_symmetry_Int_Tables_number 216
_symmetry_space_group_name_Hall 'F -4 2 3'
loop_
_atom_site_label
_atom_site_fract_x
_atom_site_fract_y
_atom_site_fract_z
_atom_site_occupancy
La1 0.0000 0.0000 0.0000 1
Ta1 0.2500 0.2500 0.2500 1
Co1 0.0000 0.0000 0.5000 1
Cu1 0.2500 0.2500 0.7500 1
```

Output
excess energy over the best structure of this formula in the dataset: 83.3 meV per atom


[3]
VASP calculation (PBE) on a geometry-optimized SmGaRe structure.

Geometry as CIF:
```
data_SmGaRe
_chemical_formula_sum 'Sm4 Ga4 Re4'
_cell_length_a 6.4002
_cell_length_b 6.4002
_cell_length_c 6.4002
_cell_angle_alpha 90.00
_cell_angle_beta 90.00
_cell_angle_gamma 90.00
_symmetry_space_group_name_H-M 'F -4 3 m'
_symmetry_Int_Tables_number 216
_symmetry_space_group_name_Hall 'F -4 2 3'
loop_
_atom_site_label
_atom_site_fract_x
_atom_site_fract_y
_atom_site_fract_z
_atom_site_occupancy
Sm1 0.0000 0.0000 0.0000 1
Ga1 0.2500 0.2500 0.7500 1
Re1 0.0000 0.0000 0.5000 1
```

Output
excess energy over the best structure of this formula in the dataset: 0.0 meV per atom


[4]
VASP calculation (PBE) on a geometry-optimized Sc2NbAl structure.

Geometry as CIF:
```
data_Sc2NbAl
_chemical_formula_sum 'Sc8 Nb4 Al4'
_cell_length_a 6.7758
_cell_length_b 6.7758
_cell_length_c 6.7758
_cell_angle_alpha 90.00
_cell_angle_beta 90.00
_cell_angle_gamma 90.00
_symmetry_space_group_name_H-M 'F -4 3 m'
_symmetry_Int_Tables_number 216
_symmetry_space_group_name_Hall 'F -4 2 3'
loop_
_atom_site_label
_atom_site_fract_x
_atom_site_fract_y
_atom_site_fract_z
_atom_site_occupancy
Sc1 0.0000 0.0000 0.0000 1
Sc2 0.2500 0.2500 0.2500 1
Nb1 0.2500 0.2500 0.7500 1
Al1 0.0000 0.0000 0.5000 1
```


[5]
VASP calculation (PBE) on a geometry-optimized RbSrNb structure.

Geometry as CIF:
```
data_RbSrNb
_chemical_formula_sum 'Rb4 Sr4 Nb4'
_cell_length_a 8.4412
_cell_length_b 8.4412
_cell_length_c 8.4412
_cell_angle_alpha 90.00
_cell_angle_beta 90.00
_cell_angle_gamma 90.00
_symmetry_space_group_name_H-M 'F -4 3 m'
_symmetry_Int_Tables_number 216
_symmetry_space_group_name_Hall 'F -4 2 3'
loop_
_atom_site_label
_atom_site_fract_x
_atom_site_fract_y
_atom_site_fract_z
_atom_site_occupancy
Rb1 0.0000 0.0000 0.0000 1
Sr1 0.2500 0.2500 0.7500 1
Nb1 0.0000 0.0000 0.5000 1
```

Output
excess energy over the best structure of this formula in the dataset: 0.0 meV per atom


[6]
VASP calculation (PBE) on a geometry-optimized CoNiAsW structure.

Geometry as CIF:
```
data_CoNiAsW
_chemical_formula_sum 'Co4 Ni4 As4 W4'
_cell_length_a 5.9169
_cell_length_b 5.9169
_cell_length_c 5.9169
_cell_angle_alpha 90.00
_cell_angle_beta 90.00
_cell_angle_gamma 90.00
_symmetry_space_group_name_H-M 'F -4 3 m'
_symmetry_Int_Tables_number 216
_symmetry_space_group_name_Hall 'F -4 2 3'
loop_
_atom_site_label
_atom_site_fract_x
_atom_site_fract_y
_atom_site_fract_z
_atom_site_occupancy
Co1 0.0000 0.0000 0.0000 1
Ni1 0.2500 0.2500 0.2500 1
As1 0.2500 0.2500 0.7500 1
W1 0.0000 0.0000 0.5000 1
```

Output
excess energy over the best structure of this formula in the dataset: 0.0 meV per atom


no.,VASP energy (hartree per atom),total moment (Bohr magnetons per cell)
1,-0.154,0.0
2,-0.237,0.0
3,-0.231,1.0
4,-0.245,0.0
5,-0.096,23.1
6,-0.272,1.8